Tb2GdCu4Sn2Ge2 | PBE | optimized geometry

Cell lengths 4.3744, 6.7273, 14.5410 Å; angles 90.00, 90.00, 90.00 degrees
Closest atoms and distances in Å follow each position.
Space group Immm (No. 71)
Symmetry-distinct sites (fractional):
Tb  0.0000  0.0000  0.1255  6 Cu 3.07-3.37, 4 Ge 3.12, 2 Sn 3.15
Gd  0.0000  0.5000  0.0000  4 Ge 3.02, 2 Sn 3.17
Cu  0.0000  0.1890  0.3405  1 Ge 2.46, 1 Cu 2.54, 3 Sn 2.67-2.75
Sn  0.0000  0.5000  0.2181  6 Cu 2.67-2.75
Ge  0.0000  0.3100  0.5000  2 Cu 2.46, 1 Ge 2.56

Output
Energy relative to the lowest polymorph listed for this composition in meV/atom: 0